No. 1
HfMgP2Br: relaxed, PBE.

The space group is P4/mmm (No. 123) and the conventional cell measures 4.590, 4.590 and 5.633 Å, with angles of 90.00, 90.00 and 90.00 degrees. Symmetry generates all atoms from Hf at (0.000, 0.000, 0.000), Mg at (0.000, 0.000, 0.500), P at (0.000, 0.500, 0.500) and Br at (0.500, 0.500, 0.000).

For the uncorrected energy, the calculation gives -19.8 eV per cell. Its crystal system is tetragonal. The density of states at the Fermi level comes out at 1.153 states/eV per atom. Its formation energy from raw total energies is 845 meV/atom.

---

No. 2
K2Cd6AgHg: relaxed, PBE.

The space group is C2/m (No. 12) and the conventional cell measures 10.967, 10.955 and 7.750 Å, with angles of 90.00, 134.87 and 90.00 degrees. Symmetry generates all atoms from K at (0.000, 0.250, 0.000), Cd at (0.000, 0.246, 0.500), Cd at (0.245, 0.000, 0.991), Cd at (0.246, 0.000, 0.500), Ag at (0.000, 0.000, 0.500) and Hg at (0.000, 0.500, 0.500).

For the uncorrected energy, the calculation gives -20.9 eV per cell. Its crystal system is monoclinic. The density of states at the Fermi level comes out at 0.392 states/eV per atom. The calculation puts the formation energy at 0.9 kcal/mol of atoms.

---

No. 3
Sr3Nd3HoS8: relaxed, PBE.

The space group is R-3m (No. 166, hexagonal axes) and the conventional cell measures 8.1956, 8.1956 and 20.7591 Å, with angles of 90.00, 90.00 and 120.00 degrees. Symmetry generates all atoms from Sr at (0.0000, 0.5000, 0.0000), Nd at (0.0000, 0.5000, 0.5000), Ho at (0.0000, 0.0000, 0.5000), S at (0.0000, 0.0000, 0.2468) and S at (0.0127, 0.5063, 0.2422).

For the uncorrected energy, the calculation gives -264.4 eV per cell. Its crystal system is trigonal. The density of states at the Fermi level comes out at 0.318 states/eV per atom. Its formation energy from raw total energies is -2079 meV/atom.

---

No. 4
NdSm2Th: relaxed, PBE.

The space group is P6_3/mmc (No. 194) and the conventional cell measures 3.6305, 3.6305 and 23.5807 Å, with angles of 90.00, 90.00 and 120.00 degrees. Symmetry generates all atoms from Nd at (0.3333, 0.6667, 0.2500), Sm at (0.3333, 0.6667, 0.6214) and Th at (0.0000, 0.0000, 0.0000).

For the uncorrected energy, the calculation gives -43.1 eV per cell. Its crystal system is hexagonal. The density of states at the Fermi level comes out at 1.255 states/eV per atom. The calculation puts the formation energy at 0.4 kcal/mol of atoms. As for the energy relative to the lowest polymorph listed for this composition: 0 meV/atom.

---

No. 5
CuPd14Rh: relaxed, PBE.

The space group is Amm2 (No. 38) and the conventional cell measures 9.136, 5.557 and 9.598 Å, with angles of 90.00, 90.00 and 90.00 degrees. Symmetry generates all atoms from Cu at (0.000, 0.000, 0.000), Pd at (0.000, 0.250, 0.251), Pd at (0.244, 0.249, 0.081), Pd at (0.248, 0.000, 0.833), Pd at (0.249, 0.000, 0.333), Pd at (0.500, 0.000, 0.164), Pd at (0.500, 0.000, 0.664), Pd at (0.500, 0.249, 0.915) and Rh at (0.000, 0.000, 0.499).

For the uncorrected energy, the calculation gives -167.6 eV per cell. Its crystal system is orthorhombic. The density of states at the Fermi level comes out at 2.091 states/eV per atom. The calculation puts the formation energy at 0.5 kcal/mol of atoms.

---

No. 6
BeMo3Cl: relaxed, PBE.

The space group is Pm-3m (No. 221) and the conventional cell measures 4.366, 4.366 and 4.366 Å, with angles of 90.00, 90.00 and 90.00 degrees. Symmetry generates all atoms from Be at (0.000, 0.000, 0.000), Mo at (0.000, 0.500, 0.500) and Cl at (0.500, 0.500, 0.500).

For the uncorrected energy, the calculation gives -32.0 eV per cell. Its crystal system is cubic. The density of states at the Fermi level comes out at 0.796 states/eV per atom. Its formation energy from raw total energies is 1204 meV/atom. As for the energy relative to the lowest polymorph listed for this composition: 0 meV/atom.

---

No. 7
Li3InGa4: relaxed, PBE.

The space group is C2/m (No. 12) and the conventional cell measures 18.319, 3.199 and 4.831 Å, with angles of 90.00, 95.99 and 90.00 degrees. Symmetry generates all atoms from Li at (0.000, 0.000, 0.000), Li at (0.129, 0.000, 0.530), In at (0.000, 0.500, 0.500), Ga at (0.127, 0.500, 0.027) and Ga at (0.249, 0.000, 0.252).

For the uncorrected energy, the calculation gives -44.5 eV per cell. Its crystal system is monoclinic. The density of states at the Fermi level comes out at 0.274 states/eV per atom. The calculation puts the formation energy at -4.8 kcal/mol of atoms.

---

No. 8
Nd2SbBr3: relaxed, PBE.

The space group is C2/m (No. 12) and the conventional cell measures 18.082, 4.566 and 14.272 Å, with angles of 90.00, 126.56 and 90.00 degrees. Symmetry generates all atoms from Nd at (0.110, 0.000, 0.452), Nd at (0.138, 0.500, 0.831), Sb at (0.103, 0.000, 0.667), Br at (0.059, 0.500, 0.274), Br at (0.157, 0.000, 0.997) and Br at (0.239, 0.500, 0.594).

For the uncorrected energy, the calculation gives -111.0 eV per cell. Its crystal system is monoclinic. Its formation energy from raw total energies is -1511 meV/atom.

---

No. 9
IrAuCl: relaxed, PBE.

The space group is P3m1 (No. 156) and the conventional cell measures 3.0169, 3.0169 and 6.6537 Å, with angles of 90.00, 90.00 and 120.00 degrees. Symmetry generates all atoms from Ir at (0.0000, 0.0000, 0.0000), Au at (0.3333, 0.6667, 0.3277) and Cl at (0.6667, 0.3333, 0.7222).

For the uncorrected energy, the calculation gives -12.2 eV per cell. Its crystal system is trigonal. The density of states at the Fermi level comes out at 1.055 states/eV per atom. Its formation energy from raw total energies is 605 meV/atom. As for the energy relative to the lowest polymorph listed for this composition: 83 meV/atom.

---

No. 10
LiPmTh2Se5: relaxed, PBE.

The space group is Cmc2_1 (No. 36) and the conventional cell measures 4.074, 17.350 and 12.639 Å, with angles of 90.00, 90.00 and 90.00 degrees. Symmetry generates all atoms from Li at (0.000, 0.007, 0.000), Pm at (0.000, 0.308, 0.512), Th at (0.000, 0.373, 0.813), Th at (0.000, 0.387, 0.196), Se at (0.000, 0.002, 0.805), Se at (0.000, 0.139, 0.513), Se at (0.000, 0.193, 0.847), Se at (0.000, 0.208, 0.178) and Se at (0.000, 0.460, 0.594).

For the uncorrected energy, the calculation gives -213.3 eV per cell. Its crystal system is orthorhombic. The density of states at the Fermi level comes out at 0.556 states/eV per atom. Its formation energy from raw total energies is -1599 meV/atom.

---

No. 11
MgTlNF2: relaxed, PBE.

The space group is P4/mmm (No. 123) and the conventional cell measures 3.766, 3.766 and 4.803 Å, with angles of 90.00, 90.00 and 90.00 degrees. Symmetry generates all atoms from Mg at (0.000, 0.000, 0.000), Tl at (0.500, 0.500, 0.500), N at (0.000, 0.000, 0.500) and F at (0.000, 0.500, 0.000).

For the uncorrected energy, the calculation gives -22.8 eV per cell. Its crystal system is tetragonal. The density of states at the Fermi level comes out at 0.552 states/eV per atom. Its formation energy from raw total energies is -1345 meV/atom. As for the energy relative to the lowest polymorph listed for this composition: 0 meV/atom.

---

No. 12
LaBeBr2: relaxed, PBE.

The space group is R-3m (No. 166, hexagonal axes) and the conventional cell measures 3.7359, 3.7359 and 26.9219 Å, with angles of 90.00, 90.00 and 120.00 degrees. Symmetry generates all atoms from La at (0.0000, 0.0000, 0.0000), Be at (0.0000, 0.0000, 0.5000) and Br at (0.0000, 0.0000, 0.4159).

For the uncorrected energy, the calculation gives -41.3 eV per cell. Its crystal system is trigonal. The density of states at the Fermi level comes out at 0.732 states/eV per atom. Its formation energy from raw total energies is -439 meV/atom. As for the energy relative to the lowest polymorph listed for this composition: 354 meV/atom.

---

No. 13
V3AsRh: relaxed, PBE.

The space group is Pm-3m (No. 221) and the conventional cell measures 4.613, 4.613 and 4.613 Å, with angles of 90.00, 90.00 and 90.00 degrees. Symmetry generates all atoms from V at (0.000, 0.000, 0.500), As at (0.500, 0.500, 0.500) and Rh at (0.000, 0.000, 0.000).

For the uncorrected energy, the calculation gives -34.8 eV per cell. Its crystal system is cubic. The density of states at the Fermi level comes out at 1.717 states/eV per atom. The calculation puts the formation energy at 21.1 kcal/mol of atoms. As for the energy relative to the lowest polymorph listed for this composition: 146 meV/atom.

---

No. 14
Ag2MoRh: relaxed, PBE.

The space group is Cm (No. 8) and the conventional cell measures 9.151, 2.781 and 5.171 Å, with angles of 90.00, 98.37 and 90.00 degrees. Symmetry generates all atoms from Ag at (0.000, 0.000, 0.000), Ag at (0.248, 0.000, 0.777), Mo at (0.494, 0.000, 0.481) and Rh at (0.248, 0.500, 0.299).

For the uncorrected energy, the calculation gives -45.2 eV per cell. Its crystal system is monoclinic. The density of states at the Fermi level comes out at 1.075 states/eV per atom. The calculation puts the formation energy at 7.4 kcal/mol of atoms. As for the energy relative to the lowest polymorph listed for this composition: 202 meV/atom.

---

No. 15
AcGe2OsRu: relaxed, PBE.

The space group is I-4m2 (No. 119) and the conventional cell measures 4.375, 4.375 and 10.454 Å, with angles of 90.00, 90.00 and 90.00 degrees. Symmetry generates all atoms from Ac at (0.000, 0.000, 0.000), Ge at (0.000, 0.000, 0.361), Os at (0.000, 0.500, 0.250) and Ru at (0.000, 0.500, 0.750).

For the uncorrected energy, the calculation gives -72.8 eV per cell. Its crystal system is tetragonal. The density of states at the Fermi level comes out at 0.448 states/eV per atom. The calculation puts the formation energy at -11.8 kcal/mol of atoms.

---

No. 16
CaPr6Y3: relaxed, PBE.

The space group is P2_1/m (No. 11) and the conventional cell measures 12.041, 3.593 and 17.300 Å, with angles of 90.00, 108.11 and 90.00 degrees. Symmetry generates all atoms from Ca at (0.140, 0.250, 0.180), Pr at (0.109, 0.250, 0.962), Pr at (0.136, 0.250, 0.388), Pr at (0.139, 0.250, 0.595), Pr at (0.355, 0.750, 0.104), Pr at (0.381, 0.750, 0.330), Pr at (0.402, 0.750, 0.743), Y at (0.137, 0.750, 0.785), Y at (0.375, 0.250, 0.925) and Y at (0.379, 0.750, 0.531).

For the uncorrected energy, the calculation gives -98.7 eV per cell. Its crystal system is monoclinic. The density of states at the Fermi level comes out at 1.468 states/eV per atom. The calculation puts the formation energy at 1.7 kcal/mol of atoms.

---

No. 17
YP2RhO: relaxed, PBE.

The space group is P4/mmm (No. 123) and the conventional cell measures 4.882, 4.882 and 3.742 Å, with angles of 90.00, 90.00 and 90.00 degrees. Symmetry generates all atoms from Y at (0.000, 0.000, 0.000), P at (0.000, 0.500, 0.500), Rh at (0.500, 0.500, 0.500) and O at (0.500, 0.500, 0.000).

For the uncorrected energy, the calculation gives -32.0 eV per cell. Its crystal system is tetragonal. The density of states at the Fermi level comes out at 0.509 states/eV per atom. Its formation energy from raw total energies is -478 meV/atom. As for the energy relative to the lowest polymorph listed for this composition: 0 meV/atom.

---

No. 18
KBe2Se: relaxed, PBE.

The space group is C2/m (No. 12) and the conventional cell measures 10.233, 3.249 and 6.000 Å, with angles of 90.00, 106.43 and 90.00 degrees. Symmetry generates all atoms from K at (0.000, 0.000, 0.000), Be at (0.174, 0.000, 0.527) and Se at (0.000, 0.500, 0.500).

For the uncorrected energy, the calculation gives -21.9 eV per cell. Its crystal system is monoclinic. The density of states at the Fermi level comes out at 0.381 states/eV per atom. Its formation energy from raw total energies is 276 meV/atom.

---

No. 19
Pu3Fe2Si4: relaxed, PBE.

The space group is C2/m (No. 12) and the conventional cell measures 10.576, 3.885 and 7.942 Å, with angles of 90.00, 115.55 and 90.00 degrees. Symmetry generates all atoms from Pu at (0.000, 0.000, 0.000), Pu at (0.100, 0.500, 0.639), Fe at (0.202, 0.500, 0.342), Si at (0.101, 0.000, 0.379) and Si at (0.223, 0.500, 0.067).

For the uncorrected energy, the calculation gives -164.5 eV per cell. Its crystal system is monoclinic. The density of states at the Fermi level comes out at 1.883 states/eV per atom. Its formation energy from raw total energies is -70 meV/atom.

---

No. 20
InSbP2: relaxed, PBE.

The space group is F-43m (No. 216) and the conventional cell measures 6.906, 6.906 and 6.906 Å, with angles of 90.00, 90.00 and 90.00 degrees. Symmetry generates all atoms from In at (0.000, 0.000, 0.000), Sb at (0.250, 0.250, 0.750), P at (0.000, 0.000, 0.500) and P at (0.250, 0.250, 0.250).

For the uncorrected energy, the calculation gives -61.3 eV per cell. Its crystal system is cubic. The density of states at the Fermi level comes out at 0.577 states/eV per atom. Its formation energy from raw total energies is 586 meV/atom. As for the energy relative to the lowest polymorph listed for this composition: 542 meV/atom.